PdSN2F (PBEsol, relaxed); ΔE_f (raw) = 111 kJ per mole of atoms; crystal system = tetragonal; D(E_F) = 0.686 states/eV/atom; E_tot = -4.72 eV per atom
1.0
3.587 0.000 0.000
0.000 3.587 0.000
0.000 0.000 3.931
N Pd F S
2 1 1 1
Direct
0.000 0.500 0.000
0.500 0.000 0.000
0.500 0.500 0.500
0.000 0.000 0.500
0.000 0.000 0.000